Material: NaZrF3
Method: DFT, GGA-PBE
State: optimized geometry

Raw formation energy, eV per formula unit: -9.71
ΔE to the lowest computed polymorph, kJ/mol of formula units: 255.9

The structure in CIF format:
```
data_NaZrF3
_chemical_formula_sum 'Na1 Zr1 F3'
_cell_length_a 4.0776
_cell_length_b 4.0776
_cell_length_c 4.0776
_cell_angle_alpha 90.00
_cell_angle_beta 90.00
_cell_angle_gamma 90.00
_space_group_name_H-M_alt 'P 1'
_space_group_IT_number 1
loop_
_space_group_symop_operation_xyz
'x,y,z'
loop_
_atom_site_label
_atom_site_type_symbol
_atom_site_fract_x
_atom_site_fract_y
_atom_site_fract_z
F1 F 0.0000 0.0000 0.5000
Na1 Na 0.0000 0.0000 0.0000
F2 F 0.0000 0.5000 0.0000
F3 F 0.5000 0.0000 0.0000
Zr1 Zr 0.5000 0.5000 0.5000
```

Material: In3Sn2Hg8
Method: DFT, GGA-PBE
State: optimized geometry

Formation energy, meV per atom: 42

The structure in CIF format:
```
data_In3Sn2Hg8
_chemical_formula_sum 'In3 Sn2 Hg8'
_cell_length_a 10.6602
_cell_length_b 5.9768
_cell_length_c 5.9768
_cell_angle_alpha 76.53
_cell_angle_beta 98.00
_cell_angle_gamma 98.00
_space_group_name_H-M_alt 'P 1'
_space_group_IT_number 1
loop_
_space_group_symop_operation_xyz
'x,y,z'
loop_
_atom_site_label
_atom_site_type_symbol
_atom_site_fract_x
_atom_site_fract_y
_atom_site_fract_z
Hg1 Hg 0.9111 0.7350 0.7350
Hg2 Hg 0.3437 0.4445 0.9590
Hg3 Hg 0.7973 0.1090 0.1090
In1 In 0.0000 0.7377 0.2623
Sn1 Sn 0.6430 0.5366 0.5366
In2 In 0.5000 0.0000 0.0000
Hg4 Hg 0.6563 0.5555 0.0410
Hg5 Hg 0.6563 0.0410 0.5555
Hg6 Hg 0.2027 0.8910 0.8910
Hg7 Hg 0.3437 0.9590 0.4445
Hg8 Hg 0.0889 0.2650 0.2650
Sn2 Sn 0.3570 0.4634 0.4634
In3 In 0.0000 0.2623 0.7377
```

Material: Er6Co2Au
Method: DFT, GGA-PBE
State: optimized geometry

Formation energy, meV per atom: -352

The structure in CIF format:
```
data_Er6Co2Au
_chemical_formula_sum 'Er12 Co4 Au2'
_cell_length_a 8.1913
_cell_length_b 8.1913
_cell_length_c 8.1913
_cell_angle_alpha 107.13
_cell_angle_beta 109.50
_cell_angle_gamma 111.81
_space_group_name_H-M_alt 'P 1'
_space_group_IT_number 1
loop_
_space_group_symop_operation_xyz
'x,y,z'
loop_
_atom_site_label
_atom_site_type_symbol
_atom_site_fract_x
_atom_site_fract_y
_atom_site_fract_z
Co1 Co 0.5000 0.6148 0.1148
Er1 Er 0.7956 0.2241 0.0197
Er2 Er 0.1049 0.2901 0.8148
Er3 Er 0.8951 0.7099 0.1852
Er4 Er 0.5247 0.7099 0.8148
Er5 Er 0.2044 0.7759 0.9803
Er6 Er 0.4753 0.2901 0.1852
Er7 Er 0.7014 0.3820 0.6806
Er8 Er 0.2986 0.6180 0.3194
Co2 Co 0.3770 0.0000 0.3770
Au1 Au 0.0000 0.0000 0.0000
Co3 Co 0.6230 0.0000 0.6230
Er9 Er 0.2986 0.9792 0.6806
Er10 Er 0.7014 0.0208 0.3194
Er11 Er 0.2044 0.2241 0.4285
Er12 Er 0.7956 0.7759 0.5715
Au2 Au 0.0000 0.5000 0.5000
Co4 Co 0.5000 0.3852 0.8852
```

Material: Ta3NbW2
Method: DFT, GGA-PBE
State: optimized geometry

ΔE to the lowest computed polymorph, kJ/mol of formula units: 244.0
Formation energy, meV per atom: 349

The structure in CIF format:
```
data_Ta3NbW2
_chemical_formula_sum 'Ta6 Nb2 W4'
_cell_length_a 5.4648
_cell_length_b 7.9442
_cell_length_c 7.9442
_cell_angle_alpha 140.93
_cell_angle_beta 90.00
_cell_angle_gamma 90.00
_space_group_name_H-M_alt 'P 1'
_space_group_IT_number 1
loop_
_space_group_symop_operation_xyz
'x,y,z'
loop_
_atom_site_label
_atom_site_type_symbol
_atom_site_fract_x
_atom_site_fract_y
_atom_site_fract_z
Ta1 Ta 0.7500 0.3163 0.6687
Nb1 Nb 0.2500 0.3278 0.3278
Nb2 Nb 0.7500 0.6722 0.6722
Ta2 Ta 0.7500 0.6687 0.3163
Ta3 Ta 0.2500 0.6837 0.3313
Ta4 Ta 0.2500 0.8390 0.8390
W1 W 0.5000 0.8402 0.1598
Ta5 Ta 0.2500 0.3313 0.6837
W2 W 0.0000 0.1598 0.8402
W3 W 0.5000 0.1598 0.8402
W4 W 0.0000 0.8402 0.1598
Ta6 Ta 0.7500 0.1610 0.1610
```

Results for calculated volume: 13.56, 28.04, 23.47, 18.12 (in Å³ per atom, following the order of the records).
Results for D(E_F): 2.44, 4.76, 8.76, 5.46 (in states/eV/f.u., following the order of the records).